This record from the Alexandria database describes a geometry-optimized FeCuNiPb2 structure. The functional is PBE.

Properties
Calculated total energy, eV for the cell shown: -20.62

Cell lengths 5.036, 5.036, 4.578 Å; angles 90.00, 90.00, 90.00 degrees
Space group P4/mmm (No. 123)
Inequivalent atoms, fractional coordinates:
Fe 0.000 0.000 0.000
Cu 0.000 0.000 0.500
Ni 0.500 0.500 0.000
Pb 0.000 0.500 0.500